Crystalline KMnPH2O5 at its relaxed geometry, computed with PBE+U.

Cell: 4.919 5.758 8.486 Å, 90.00 90.00 90.00°
Last column: magnetic moment on the atom in μB.
Sites, in units of the cell vectors:
K (0.625, 0.500, 0.036)  0.00
K (0.125, 0.000, 0.964)  0.00
Mn (0.519, 0.500, 0.480)  4.66
Mn (0.019, 0.000, 0.520)  4.66
P (0.086, 0.500, 0.718)  0.01
P (0.586, 0.000, 0.282)  0.01
H (0.071, 0.364, 0.301)  0.00
H (0.571, 0.136, 0.699)  0.00
H (0.071, 0.636, 0.301)  0.00
H (0.571, 0.864, 0.699)  0.00
O (0.191, 0.500, 0.287)  0.01
O (0.691, 0.000, 0.713)  0.01
O (0.280, 0.000, 0.320)  0.02
O (0.780, 0.500, 0.680)  0.02
O (0.634, 0.000, 0.104)  0.01
O (0.134, 0.500, 0.896)  0.01
O (0.729, 0.783, 0.363)  0.03
O (0.229, 0.717, 0.637)  0.03
O (0.729, 0.217, 0.363)  0.03
O (0.229, 0.283, 0.637)  0.03

Values from the calculation:
The crystal system is orthorhombic.

---

Crystalline K2Mn3H6S3O16 at its relaxed geometry, computed with PBE+U.

Cell: 9.969 9.969 10.089 Å, 90.00 90.00 133.59°
Last column: magnetic moment on the atom in μB.
Sites, in units of the cell vectors:
K (0.236, 0.851, 0.285)  0.00
K (0.851, 0.236, 0.285)  0.00
K (0.764, 0.149, 0.785)  0.00
K (0.149, 0.764, 0.785)  0.00
Mn (0.553, 0.376, 0.736)  4.67
Mn (0.376, 0.553, 0.736)  4.67
Mn (0.447, 0.624, 0.236)  4.67
Mn (0.624, 0.447, 0.236)  4.67
Mn (0.805, 0.805, 0.519)  4.67
Mn (0.195, 0.195, 0.019)  4.67
H (0.476, 0.476, 0.522)  0.01
H (0.524, 0.524, 0.022)  0.01
H (0.196, 0.196, 0.768)  0.01
H (0.804, 0.804, 0.268)  0.01
H (0.916, 0.732, 0.072)  0.00
H (0.732, 0.916, 0.072)  0.00
H (0.084, 0.268, 0.572)  0.00
H (0.268, 0.084, 0.572)  0.00
H (0.917, 0.573, 0.071)  0.00
H (0.573, 0.917, 0.071)  0.00
H (0.083, 0.427, 0.571)  0.00
H (0.427, 0.083, 0.571)  0.00
S (0.876, 0.520, 0.509)  0.01
S (0.520, 0.876, 0.509)  0.01
S (0.124, 0.480, 0.009)  0.01
S (0.480, 0.124, 0.009)  0.01
S (0.815, 0.815, 0.845)  0.01
S (0.185, 0.185, 0.345)  0.01
O (0.548, 0.548, 0.601)  0.05
O (0.452, 0.452, 0.101)  0.05
O (0.303, 0.303, 0.819)  0.05
O (0.697, 0.697, 0.319)  0.05
O (0.360, 0.102, 0.629)  0.01
O (0.102, 0.360, 0.629)  0.01
O (0.640, 0.898, 0.129)  0.01
O (0.898, 0.640, 0.129)  0.01
O (0.740, 0.417, 0.399)  0.01
O (0.417, 0.740, 0.399)  0.01
O (0.260, 0.583, 0.899)  0.01
O (0.583, 0.260, 0.899)  0.01
O (0.786, 0.426, 0.639)  0.01
O (0.426, 0.786, 0.639)  0.01
O (0.214, 0.574, 0.139)  0.01
O (0.574, 0.214, 0.139)  0.01
O (0.027, 0.526, 0.483)  0.01
O (0.526, 0.027, 0.483)  0.01
O (0.973, 0.474, 0.983)  0.01
O (0.474, 0.973, 0.983)  0.01
O (0.958, 0.715, 0.515)  0.01
O (0.715, 0.958, 0.515)  0.01
O (0.042, 0.285, 0.015)  0.01
O (0.285, 0.042, 0.015)  0.01
O (0.640, 0.774, 0.846)  0.01
O (0.774, 0.640, 0.846)  0.01
O (0.360, 0.226, 0.346)  0.01
O (0.226, 0.360, 0.346)  0.01
O (0.931, 0.931, 0.728)  0.01
O (0.069, 0.069, 0.228)  0.01
O (0.918, 0.918, 0.971)  0.02
O (0.082, 0.082, 0.471)  0.02

Values from the calculation:
The crystal system is orthorhombic.

---

| no. | D(E_F) (states/eV/f.u.) | E_tot (eV for the cell shown) | mass density (g cm⁻³) |
| --- | --- | --- | --- |
| 1 | 0.0 | -127.9 | 2.9 |
| 2 | 0.0 | -364.0 | 2.7 |